Arrangement A

Below is a PBEsol-optimized structure of Al5Ag7, with properties calculated at the SCAN level.

POSCAR file:
```
Al5Ag7
1.0
4.989 -0.039 0.000
-1.634 4.705 0.000
0.000 0.000 8.270
Ag Al
7 5
Cartesian
0.000 0.000 8.151
-0.817 2.353 4.189
1.678 2.333 8.241
0.000 0.000 2.828
-0.817 2.353 1.371
2.495 -0.019 1.447
1.678 2.333 5.461
-0.817 2.353 6.920
0.000 0.000 5.503
2.495 -0.019 4.156
2.495 -0.019 6.942
1.678 2.333 2.677
```

Summary:
D(E_F): 3.3 states/eV/f.u.
Crystal system: monoclinic
Space group: P2, No. 3

=====

Arrangement B

Below is a PBEsol-optimized structure of Al5Ag7, with properties calculated at the SCAN level.

POSCAR file:
```
Al5Ag7
1.0
-0.573 0.691 -4.831
2.628 -4.834 -1.003
-7.416 -1.024 1.095
Al Ag
5 7
Cartesian
-1.039 -3.156 -3.462
-4.261 -2.121 -1.299
0.353 -0.830 -2.659
-1.429 -2.209 -0.796
-5.262 -0.510 -3.435
1.658 -3.230 -3.157
1.288 -2.368 -0.491
-2.376 -0.752 -2.914
-2.931 -4.512 -1.845
-0.229 -4.696 -1.228
-3.839 -2.847 -4.004
2.628 -4.832 -1.002
```

Summary:
D(E_F): 2.9 states/eV/f.u.
Crystal system: monoclinic
Space group: C2, No. 5

=====

Which of them is the least stable? Correct choice: arrangement A.

=====

Arrangement A

Below is a PBEsol-optimized structure of Be2InSb, with properties calculated at the SCAN level.

POSCAR file:
```
Be2InSb
1.0
-2.061 2.121 5.475
2.954 -5.503 -0.293
5.723 -0.573 2.376
Be Sb In
4 2 2
Cartesian
7.018 -4.417 2.404
2.658 0.108 6.263
3.021 -2.962 4.233
0.535 -0.637 2.217
0.000 0.000 0.000
4.224 -1.590 5.742
1.831 0.774 3.926
2.393 -2.364 1.816
```

Summary:
D(E_F): 1.6 states/eV/f.u.
Crystal system: tetragonal
Space group: I-42d, No. 122

=====

Arrangement B

Below is a PBEsol-optimized structure of Be2InSb, with properties calculated at the SCAN level.

POSCAR file:
```
Be2InSb
1.0
-0.324 -0.292 3.728
-0.263 -3.032 -2.150
6.158 1.392 0.645
Be In Sb
2 1 1
Cartesian
1.155 -1.226 0.004
4.416 -0.706 2.218
3.079 0.696 0.322
-0.162 -0.146 1.864
```

Summary:
D(E_F): 1.5 states/eV/f.u.
Crystal system: monoclinic
Space group: C2/m, No. 12

=====

Which of them is the least stable? Correct choice: arrangement A.

=====

Arrangement A

Below is a PBEsol-optimized structure of Sr2LaMn, with properties calculated at the SCAN level.

POSCAR file:
```
Sr2LaMn
1.0
3.818 0.057 0.000
-0.056 3.818 0.000
0.000 0.000 9.788
Sr Mn La
2 1 1
Cartesian
0.000 0.000 0.641
1.881 1.937 7.161
1.881 1.937 2.687
0.000 0.000 4.193
```

Summary:
D(E_F): 2.7 states/eV/f.u.
Crystal system: tetragonal
Space group: P4mm, No. 99

=====

Arrangement B

Below is a PBEsol-optimized structure of Sr2LaMn, with properties calculated at the SCAN level.

POSCAR file:
```
Sr2LaMn
1.0
4.923 0.000 0.000
0.000 4.923 0.000
0.000 0.000 5.613
Sr La Mn
2 1 1
Cartesian
2.461 0.000 0.000
0.000 2.461 0.000
2.461 2.461 2.806
0.000 0.000 2.806
```

Summary:
D(E_F): 5.3 states/eV/f.u.
Crystal system: tetragonal
Space group: P4/mmm, No. 123

=====

Which of them is the least stable? Correct choice: arrangement B.

=====

Arrangement A

Below is a PBEsol-optimized structure of Li3Pt, with properties calculated at the SCAN level.

POSCAR file:
```
Li3Pt
1.0
-0.931 -1.821 -1.944
2.402 -3.286 1.927
-4.089 0.076 1.886
Li Pt
3 1
Cartesian
0.735 -2.553 -0.009
-2.510 -0.872 -0.029
0.000 0.000 0.000
-0.844 -1.605 1.906
```

Summary:
D(E_F): 1.1 states/eV/f.u.
Crystal system: orthorhombic
Space group: Cmmm, No. 65

=====

Arrangement B

Below is a PBEsol-optimized structure of Li3Pt, with properties calculated at the SCAN level.

POSCAR file:
```
Li3Pt
1.0
2.760 0.000 0.000
0.000 4.326 0.000
0.000 0.000 4.675
Pt Li
1 3
Cartesian
0.000 2.163 1.534
0.000 0.000 0.148
1.380 2.163 3.861
1.380 0.000 2.249
```

Summary:
D(E_F): 1.1 states/eV/f.u.
Crystal system: orthorhombic
Space group: Pmm2, No. 25

=====

Which of them is the least stable? Correct choice: arrangement A.

=====

Arrangement A

Below is a PBEsol-optimized structure of TcAgP, with properties calculated at the SCAN level.

POSCAR file:
```
TcAgP
1.0
4.108 0.000 0.000
2.054 3.558 0.000
2.054 1.186 3.354
Tc P Ag
1 1 1
Cartesian
2.054 1.186 0.839
4.108 2.372 1.677
0.000 0.000 0.000
```

Summary:
D(E_F): 2.4 states/eV/f.u.
Crystal system: cubic
Space group: F-43m, No. 216

=====

Arrangement B

Below is a PBEsol-optimized structure of TcAgP, with properties calculated at the SCAN level.

POSCAR file:
```
TcAgP
1.0
3.358 0.000 0.000
0.000 3.945 0.000
0.000 -1.972 3.416
Ag Tc P
1 1 1
Cartesian
0.034 0.000 0.000
1.733 0.000 2.278
1.591 1.973 1.139
```

Summary:
D(E_F): 1.9 states/eV/f.u.
Crystal system: trigonal
Space group: P3m1, No. 156

=====

Which of them is the least stable? Correct choice: arrangement A.

=====

Arrangement A

Below is a PBEsol-optimized structure of ZrSc2Cl, with properties calculated at the SCAN level.

POSCAR file:
```
ZrSc2Cl
1.0
3.068 0.000 0.000
0.000 5.261 0.000
-1.534 -2.630 5.154
Sc Cl Zr
2 1 1
Cartesian
0.000 2.630 2.528
0.000 0.000 0.394
1.534 0.000 2.596
0.000 0.000 4.790
```

Summary:
D(E_F): 4.8 states/eV/f.u.
Crystal system: orthorhombic
Space group: Imm2, No. 44

=====

Arrangement B

Below is a PBEsol-optimized structure of ZrSc2Cl, with properties calculated at the SCAN level.

POSCAR file:
```
ZrSc2Cl
1.0
3.194 0.000 0.000
0.000 3.263 0.042
0.000 -0.122 8.515
Sc Zr Cl
2 1 1
Cartesian
0.000 1.598 2.144
0.000 1.542 6.414
1.597 -0.061 4.258
1.597 1.632 0.021
```

Summary:
D(E_F): 4.1 states/eV/f.u.
Crystal system: monoclinic
Space group: P2/m, No. 10

=====

Which of them is the least stable? Correct choice: arrangement A.

=====

Arrangement A

Below is a PBEsol-optimized structure of CdIN2, with properties calculated at the SCAN level.

POSCAR file:
```
CdIN2
1.0
4.251 0.000 0.000
2.125 3.681 0.000
2.125 1.227 3.471
N I Cd
2 1 1
Cartesian
6.376 3.681 2.603
2.125 1.227 0.868
4.251 2.454 1.735
0.000 0.000 0.000
```

Summary:
D(E_F): 1.2 states/eV/f.u.
Crystal system: cubic
Space group: Fm-3m, No. 225

=====

Arrangement B

Below is a PBEsol-optimized structure of CdIN2, with properties calculated at the SCAN level.

POSCAR file:
```
CdIN2
1.0
3.632 0.000 0.000
1.816 3.145 0.000
1.816 1.048 6.199
I N Cd
1 2 1
Cartesian
3.632 2.097 3.100
5.448 3.145 2.067
1.816 1.048 4.132
0.000 0.000 0.000
```

Summary:
D(E_F): 0.9 states/eV/f.u.
Crystal system: trigonal
Space group: R-3m, No. 166

=====

Which of them is the least stable? Correct choice: arrangement A.

=====

Arrangement A

Below is a PBEsol-optimized structure of CaZr2Br, with properties calculated at the SCAN level.

POSCAR file:
```
CaZr2Br
1.0
4.033 0.000 0.000
0.000 4.033 0.000
0.000 0.000 6.266
Ca Zr Br
1 2 1
Cartesian
0.000 0.000 3.133
0.000 2.017 0.000
2.017 0.000 0.000
2.017 2.017 3.133
```

Summary:
D(E_F): 4.3 states/eV/f.u.
Crystal system: tetragonal
Space group: P4/mmm, No. 123

=====

Arrangement B

Below is a PBEsol-optimized structure of CaZr2Br, with properties calculated at the SCAN level.

POSCAR file:
```
CaZr2Br
1.0
-2.329 -1.439 -1.794
-2.376 -1.707 1.468
-7.296 7.454 0.508
Zr Br Ca
2 1 1
Cartesian
-8.804 2.939 0.116
-3.197 1.369 0.067
-6.000 2.154 0.091
0.000 0.000 0.000
```

Summary:
D(E_F): 3.6 states/eV/f.u.
Crystal system: trigonal
Space group: R-3m, No. 166

=====

Which of them is the least stable? Correct choice: arrangement A.

=====

Arrangement A

Below is a PBEsol-optimized structure of Zn2PCl, with properties calculated at the SCAN level.

POSCAR file:
```
Zn2PCl
1.0
3.372 0.000 0.000
0.000 3.666 -0.032
-1.686 -1.295 6.333
Zn Cl P
2 1 1
Cartesian
1.686 0.704 3.126
1.686 -0.981 5.276
1.686 0.666 0.668
0.000 2.520 3.547
```

Summary:
D(E_F): 0.5 states/eV/f.u.
Crystal system: monoclinic
Space group: Cm, No. 8

=====

Arrangement B

Below is a PBEsol-optimized structure of Zn2PCl, with properties calculated at the SCAN level.

POSCAR file:
```
Zn2PCl
1.0
4.024 0.000 0.095
0.000 4.023 0.000
-0.123 0.000 5.238
P Zn Cl
1 2 1
Cartesian
0.503 2.012 0.012
0.405 0.000 4.197
2.490 2.012 1.113
2.454 0.000 2.679
```

Summary:
D(E_F): 0.0 states/eV/f.u.
Crystal system: tetragonal
Space group: P-4m2, No. 115

=====

Which of them is the least stable? Correct choice: arrangement A.

=====

Arrangement A

Below is a PBEsol-optimized structure of Li2MnCrO4, with properties calculated at the SCAN level.

POSCAR file:
```
Li2MnCrO4
1.0
-3.205 0.372 2.393
-0.564 -3.975 -0.137
4.372 1.331 2.277
Cr Li O Mn
1 2 4 1
Cartesian
0.962 -2.223 1.634
-0.359 -0.049 2.899
-1.885 -1.802 1.128
1.145 -0.216 1.568
-0.198 -2.004 0.047
-0.542 -2.055 2.966
2.121 -2.442 3.221
0.000 0.000 0.000
```

Summary:
D(E_F): 0.8 states/eV/f.u.
Crystal system: tetragonal
Space group: I-4m2, No. 119

=====

Arrangement B

Below is a PBEsol-optimized structure of Li2MnCrO4, with properties calculated at the SCAN level.

POSCAR file:
```
Li2MnCrO4
1.0
-2.127 5.241 -0.885
-5.218 -2.255 -0.673
-4.357 1.895 3.473
Cr Li O Mn
2 4 8 2
Cartesian
0.000 0.000 0.000
-2.179 0.948 1.736
-5.851 2.440 0.958
-3.242 3.568 1.294
-3.673 1.493 -0.779
-2.609 -1.128 -0.336
-4.044 1.611 1.518
-2.792 3.379 -0.733
-6.554 0.486 1.112
-8.911 1.501 2.648
-9.907 4.047 2.139
-5.148 4.394 0.803
-7.659 3.269 0.398
-1.795 0.833 -0.224
-4.788 -0.180 1.400
-1.063 2.620 -0.442
```

Summary:
Crystal system: monoclinic
Space group: C2/c, No. 15

=====

Which of them is the least stable? Correct choice: arrangement A.

=====

Arrangement A

Below is a PBEsol-optimized structure of BaSr2, with properties calculated at the SCAN level.

POSCAR file:
```
BaSr2
1.0
-3.883 -0.869 -0.861
1.500 -0.131 -6.637
0.453 -5.691 3.704
Sr Ba
2 1
Cartesian
1.151 -1.985 -3.190
0.802 -3.838 0.257
-1.942 -0.435 -0.430
```

Summary:
D(E_F): 3.8 states/eV/f.u.
Crystal system: hexagonal
Space group: P6/mmm, No. 191

=====

Arrangement B

Below is a PBEsol-optimized structure of BaSr2, with properties calculated at the SCAN level.

POSCAR file:
```
BaSr2
1.0
-3.989 -1.511 0.180
1.305 -3.138 2.585
-0.295 7.491 5.715
Sr Ba
2 1
Cartesian
-0.554 1.750 2.404
-2.424 1.092 6.076
-1.342 -2.325 1.383
```

Summary:
D(E_F): 2.8 states/eV/f.u.
Crystal system: tetragonal
Space group: I4/mmm, No. 139

=====

Which of them is the least stable? Correct choice: arrangement A.

=====

Arrangement A

Below is a PBEsol-optimized structure of Li2CdPb, with properties calculated at the SCAN level.

POSCAR file:
```
Li2CdPb
1.0
-0.564 2.474 -2.542
2.361 -1.659 -2.139
-4.694 -3.557 -2.421
Cd Li Pb
1 2 1
Cartesian
-2.788 -2.386 -4.242
-0.236 -0.452 -2.926
-4.648 -3.522 -2.398
-2.265 -1.716 -1.168
```

Summary:
D(E_F): 1.2 states/eV/f.u.
Crystal system: tetragonal
Space group: P4mm, No. 99

=====

Arrangement B

Below is a PBEsol-optimized structure of Li2CdPb, with properties calculated at the SCAN level.

POSCAR file:
```
Li2CdPb
1.0
3.347 0.000 0.000
0.000 4.803 0.120
0.000 -0.125 4.803
Pb Cd Li
1 1 2
Cartesian
1.674 0.000 0.000
1.674 2.339 2.462
0.000 2.402 0.060
0.000 -0.062 2.402
```

Summary:
D(E_F): 0.9 states/eV/f.u.
Crystal system: tetragonal
Space group: P4/mmm, No. 123

=====

Which of them is the least stable? Correct choice: arrangement A.

=====

Arrangement A

Below is a PBEsol-optimized structure of Zr3TiIr, with properties calculated at the SCAN level.

POSCAR file:
```
Zr3TiIr
1.0
4.717 0.000 0.000
0.000 4.717 0.000
0.000 0.000 4.717
Zr Ir Ti
3 1 1
Cartesian
0.000 0.000 2.358
0.000 2.358 0.000
2.358 0.000 0.000
2.358 2.358 2.358
0.000 0.000 0.000
```

Summary:
D(E_F): 4.3 states/eV/f.u.
Crystal system: cubic
Space group: Pm-3m, No. 221

=====

Arrangement B

Below is a PBEsol-optimized structure of Zr3TiIr, with properties calculated at the SCAN level.

POSCAR file:
```
Zr3TiIr
1.0
-2.739 3.214 -2.650
-0.815 -3.524 -3.432
-4.086 -1.452 2.461
Ir Zr Ti
1 3 1
Cartesian
0.000 0.000 0.000
-1.370 1.607 -1.325
-0.407 -1.762 -1.716
-2.043 -0.726 1.231
-3.820 -0.881 -1.811
```

Summary:
D(E_F): 7.6 states/eV/f.u.
Crystal system: cubic
Space group: Pm-3m, No. 221

=====

Which of them is the least stable? Correct choice: arrangement A.

=====

Arrangement A

Below is a PBEsol-optimized structure of TaCrCu2, with properties calculated at the SCAN level.

POSCAR file:
```
TaCrCu2
1.0
2.636 0.000 0.000
1.318 2.283 0.000
1.318 0.761 8.835
Ta Cu Cr
1 2 1
Cartesian
2.636 1.522 4.418
3.954 2.283 6.755
1.318 0.761 2.080
0.000 0.000 0.000
```

Summary:
D(E_F): 3.4 states/eV/f.u.
Crystal system: trigonal
Space group: R-3m, No. 166

=====

Arrangement B

Below is a PBEsol-optimized structure of TaCrCu2, with properties calculated at the SCAN level.

POSCAR file:
```
TaCrCu2
1.0
2.547 0.000 -0.005
0.000 4.173 0.000
-0.493 0.000 4.860
Cr Ta Cu
1 1 2
Cartesian
0.279 2.087 3.790
0.963 0.000 2.348
1.780 0.000 4.787
2.113 2.087 1.212
```

Summary:
D(E_F): 1.8 states/eV/f.u.
Crystal system: monoclinic
Space group: Pm, No. 6

=====

Which of them is the least stable? Correct choice: arrangement A.